ZrMnBe2 | GGA-PBE | relaxed

a = 4.8687 Å, b = 4.8687 Å, c = 3.9387 Å
α = 66.12°, β = 66.12°, γ = 39.34°
Last column: nearest neighbours and their distance in Å.
Positions (direct):
1 Zr 0.2674 0.2674 0.2325  8 Be 2.63-2.76, 4 Mn 2.73-2.78
2 Be 0.6947 0.6947 0.8052  2 Be 2.11
3 Be 0.0339 0.0339 0.9664  2 Be 2.11
4 Mn 0.5040 0.5040 0.4960  6 Be 2.52-2.57, 4 Zr 2.73-2.78

For the polymorph energy (0 for the lowest one), the calculation gives 0.154 eV/atom. The density of states at the Fermi level comes out at 0.758 states/eV per atom. As for the formation energy: 10.42 kJ/mol of atoms.


NbW3S | GGA-PBE | relaxed

a = 4.8043 Å, b = 4.8043 Å, c = 4.8043 Å
α = 90.00°, β = 90.00°, γ = 90.00°
Last column: nearest neighbours and their distance in Å.
Positions (direct):
1 W 0.5000 0.0000 0.0000  2 Nb 2.40
2 W 0.0000 0.0000 0.5000  2 Nb 2.40
3 W 0.0000 0.5000 0.0000  2 Nb 2.40
4 S 0.5000 0.5000 0.5000  12 W 3.40
5 Nb 0.0000 0.0000 0.0000  6 W 2.40

For the polymorph energy (0 for the lowest one), the calculation gives 1.867 eV/atom. The density of states at the Fermi level comes out at 1.457 states/eV per atom. Its uncorrected formation energy is 2.61 eV per atom.


YHoRu | GGA-PBE | relaxed

a = 4.7762 Å, b = 4.7762 Å, c = 4.7762 Å
α = 60.00°, β = 60.00°, γ = 60.00°
Last column: nearest neighbours and their distance in Å.
Positions (direct):
1 Y 0.0000 0.0000 0.0000  4 Ru 2.92
2 Ru 0.2500 0.2500 0.2500  4 Ho 2.92, 4 Y 2.92
3 Ho 0.5000 0.5000 0.5000  4 Ru 2.92

For the polymorph energy (0 for the lowest one), the calculation gives 0.000 eV/atom. The density of states at the Fermi level comes out at 0.484 states/eV per atom. As for the formation energy: -26.68 kJ/mol of atoms.


AgPtI2Cl | GGA-PBE | relaxed

a = 5.4748 Å, b = 5.2930 Å, c = 5.4748 Å
α = 90.00°, β = 90.00°, γ = 90.00°
Last column: nearest neighbours and their distance in Å.
Positions (direct):
1 Ag 0.0000 0.0000 0.0000  2 Pt 2.65, 4 I 2.74
2 I 0.0000 0.0000 0.5000  2 Ag 2.74
3 I 0.5000 0.0000 0.0000  2 Ag 2.74
4 Cl 0.5000 0.5000 0.5000  8 I 3.81, 4 Pt 3.87
5 Pt 0.0000 0.5000 0.0000  2 Ag 2.65

For the polymorph energy (0 for the lowest one), the calculation gives 0.569 eV/atom. The density of states at the Fermi level comes out at 2.025 states/eV per atom. Its uncorrected formation energy is 0.84 eV per atom.


Y7CoS5 | GGA-PBE | relaxed

a = 3.8342 Å, b = 6.7312 Å, c = 23.5277 Å
α = 90.01°, β = 90.00°, γ = 106.59°
Last column: nearest neighbours and their distance in Å.
Positions (direct):
1 Co 0.8068 0.6135 0.2504  6 Y 2.73-2.90
2 Co 0.1938 0.3877 0.7501  6 Y 2.73-2.90
3 Y 0.8026 0.6055 0.8204  3 S 2.75-2.82, 2 Co 2.89-2.90
4 Y 0.6392 0.2779 0.4634  6 S 2.72-2.76
5 Y 0.5432 0.0873 0.7500  2 Co 2.73, 2 S 2.82
6 Y 0.6396 0.2788 0.0367  6 S 2.72-2.76
7 Y 0.3610 0.7224 0.5367  6 S 2.72-2.76
8 Y 0.1982 0.3963 0.1795  3 S 2.75-2.82, 2 Co 2.90
9 Y 0.0891 0.1786 0.6122  5 S 2.75-2.88
10 Y 0.9109 0.8214 0.3876  5 S 2.75-2.88
11 Y 0.9116 0.8229 0.1121  5 S 2.75-2.88
12 Y 0.8024 0.6051 0.6795  3 S 2.75-2.82, 2 Co 2.90
13 Y 0.0895 0.1793 0.8877  5 S 2.75-2.88
14 Y 0.4574 0.9139 0.2500  2 Co 2.73, 2 S 2.82
15 Y 0.1978 0.3954 0.3204  3 S 2.75-2.82, 2 Co 2.89
16 Y 0.3614 0.7231 0.9633  6 S 2.72-2.76
17 S 0.2771 0.5538 0.4288  6 Y 2.74-2.76
18 S 0.7231 0.4466 0.5712  6 Y 2.74-2.76
19 S 0.5534 0.1060 0.3576  6 Y 2.72-2.82
20 S 0.5539 0.1069 0.1424  6 Y 2.72-2.82
21 S 0.7234 0.4473 0.9288  6 Y 2.74-2.76
22 S 0.4470 0.8949 0.8576  6 Y 2.72-2.82
23 S 0.4468 0.8945 0.6424  6 Y 2.72-2.82
24 S 0.2775 0.5547 0.0712  6 Y 2.74-2.76
25 S 0.0000 0.0000 0.4999  6 Y 2.76-2.88
26 S 0.0006 0.0011 0.9999  6 Y 2.76-2.88

The density of states at the Fermi level comes out at 0.515 states/eV per atom. Its uncorrected formation energy is -1.57 eV per atom.


Ba2Tb3YO8 | GGA-PBE | relaxed

a = 7.0448 Å, b = 7.0448 Å, c = 7.2688 Å
α = 61.01°, β = 61.01°, γ = 60.00°
Last column: nearest neighbours and their distance in Å.
Positions (direct):
1 O 0.2591 0.7624 0.2161  1 Y 2.19, 2 Tb 2.44
2 O 0.6901 0.2507 0.8086  2 Tb 2.22
3 O 0.7441 0.7441 0.7676  1 Y 2.49, 3 Tb 2.51
4 O 0.2507 0.2507 0.8086  2 Tb 2.22
5 O 0.2689 0.2689 0.1934  3 Tb 2.30
6 O 0.7624 0.2591 0.2161  1 Y 2.19, 2 Tb 2.44
7 O 0.2507 0.6901 0.8086  2 Tb 2.22
8 O 0.7624 0.7624 0.2161  1 Y 2.19, 2 Tb 2.44
9 Ba 0.5006 0.5006 0.4980  6 O 2.59-2.66
10 Ba 0.1218 0.1218 0.6347  4 O 2.51-2.66
11 Tb 0.4962 0.4962 0.9998  5 O 2.22-2.44
12 Tb 0.0078 0.4962 0.9998  5 O 2.22-2.44
13 Tb 0.4962 0.0078 0.9998  5 O 2.22-2.44
14 Y 0.8817 0.8817 0.3548  3 O 2.19

The density of states at the Fermi level comes out at 0.000 states/eV per atom. Its uncorrected formation energy is -3.14 eV per atom.


KPuI3 | GGA-PBE | relaxed

a = 4.5724 Å, b = 10.3562 Å, c = 17.7256 Å
α = 90.00°, β = 90.00°, γ = 90.00°
Last column: nearest neighbours and their distance in Å.
Positions (direct):
1 I 0.7500 0.9897 0.8900  3 Pu 3.18-3.20
2 I 0.2500 0.5103 0.3900  3 Pu 3.18-3.20
3 I 0.7500 0.1847 0.2978  1 Pu 3.19
4 I 0.2500 0.6601 0.9647  2 Pu 3.19
5 I 0.7500 0.3399 0.0353  2 Pu 3.19
6 I 0.7500 0.4897 0.6100  3 Pu 3.18-3.20
7 I 0.2500 0.0103 0.1100  3 Pu 3.18-3.20
8 I 0.2500 0.3153 0.7978  1 Pu 3.19
9 I 0.7500 0.8399 0.4647  2 Pu 3.19
10 I 0.2500 0.1601 0.5353  2 Pu 3.19
11 I 0.2500 0.8153 0.7022  1 Pu 3.19
12 I 0.7500 0.6847 0.2022  1 Pu 3.19
13 K 0.2500 0.4020 0.1936  7 I 3.66-3.72
14 K 0.7500 0.5980 0.8064  7 I 3.66-3.72
15 K 0.7500 0.0980 0.6936  7 I 3.66-3.72
16 K 0.2500 0.9020 0.3064  7 I 3.66-3.72
17 Pu 0.2500 0.1718 0.9573  6 I 3.18-3.20
18 Pu 0.7500 0.3282 0.4573  6 I 3.18-3.20
19 Pu 0.2500 0.6718 0.5427  6 I 3.18-3.20
20 Pu 0.7500 0.8282 0.0427  6 I 3.18-3.20

The density of states at the Fermi level comes out at 2.607 states/eV per atom. Its uncorrected formation energy is -1.20 eV per atom.


MgTl2Pd7S2 | GGA-PBE | relaxed

a = 3.9343 Å, b = 3.9343 Å, c = 15.2845 Å
α = 82.77°, β = 82.77°, γ = 90.00°
Last column: nearest neighbours and their distance in Å.
Positions (direct):
1 Mg 0.0000 0.0000 0.0000  12 Pd 2.78-2.84
2 Pd 0.5000 0.5000 0.0000  4 Mg 2.78, 8 Pd 2.84
3 Pd 0.9336 0.4335 0.1358  2 S 2.37
4 Pd 0.6881 0.6881 0.6211  1 S 2.33
5 Pd 0.3119 0.3119 0.3789  1 S 2.33
6 Pd 0.4335 0.9336 0.1358  2 S 2.37
7 Pd 0.5665 0.0664 0.8642  2 S 2.37
8 Pd 0.0664 0.5665 0.8642  2 S 2.37
9 S 0.6095 0.6095 0.7761  5 Pd 2.33-2.37
10 S 0.3905 0.3905 0.2239  5 Pd 2.33-2.37
11 Tl 0.2100 0.2100 0.5767  5 Pd 2.86-2.98
12 Tl 0.7900 0.7900 0.4233  5 Pd 2.86-2.98

The density of states at the Fermi level comes out at 0.624 states/eV per atom. Its uncorrected formation energy is -0.30 eV per atom.